# RePRh3

RePRh3 at its PBEsol-relaxed geometry (meta-GGA SCAN, the Alexandria database).

Cell: 4.6128 4.6128 4.6128 Å, 90.00 90.00 90.00°
Fractional coordinates of all 5 atoms:
Re  0.0000  0.0000  0.0000
P  0.5000  0.5000  0.5000
Rh  0.0000  0.0000  0.5000
Rh  0.0000  0.5000  0.0000
Rh  0.5000  0.0000  0.0000

* crystal system: cubic
* E_tot: -175.1 eV/cell
* energy of formation: 7.7 eV per formula unit

# ReP2Rh

ReP2Rh at its PBEsol-relaxed geometry (meta-GGA SCAN, the Alexandria database).

Cell: 2.8744 3.8443 4.9779 Å, 90.00 90.00 90.00°
Fractional coordinates of all 4 atoms:
Re  0.0000  0.0000  0.0000
P  0.0000  0.5000  0.5000
P  0.5000  0.5000  0.0000
Rh  0.5000  0.0000  0.5000

* crystal system: orthorhombic
* E_tot: -124.4 eV/cell
* energy of formation: 1.2 eV per formula unit

# ReP2Rh

ReP2Rh at its PBEsol-relaxed geometry (meta-GGA SCAN, the Alexandria database).

Cell: 4.2622 4.2622 4.2622 Å, 60.00 60.00 60.00°
Fractional coordinates of all 4 atoms:
Re  0.0000  0.0000  0.0000
P  0.2500  0.2500  0.2500
P  0.5000  0.5000  0.5000
Rh  0.7500  0.7500  0.7500

* crystal system: cubic
* E_tot: -123.2 eV/cell
* energy of formation: 2.4 eV per formula unit